1.
HgOs2Rh | PBEsol | optimized geometry

The space group is P2/m (No. 10) and the conventional cell measures 4.741, 2.769 and 4.837 Å, with angles of 90.00, 108.90 and 90.00 degrees. The inequivalent atoms are Hg at (0.000, 0.000, 0.000), Os at (0.000, 0.500, 0.500), Os at (0.500, 0.000, 0.500) and Rh at (0.500, 0.500, 0.000).

The formation energy comes out at 614 meV per atom. The calculation puts the total magnetization at 0.001 μB/f.u. As for the total energy: -7.670 eV/atom.

2.
HgOs2Rh | PBEsol | optimized geometry

The space group is F-43m (No. 216) and the conventional cell measures 6.259, 6.259 and 6.259 Å, with angles of 90.00, 90.00 and 90.00 degrees. The inequivalent atoms are Hg at (0.000, 0.000, 0.000), Os at (0.000, 0.000, 0.500), Os at (0.250, 0.250, 0.750) and Rh at (0.250, 0.250, 0.250).

The formation energy comes out at 840 meV per atom. The calculation puts the total magnetization at 1.021 μB/f.u. As for the total energy: -7.444 eV/atom.